No. 1
Computed, not measured: a relaxed AsPd3Se2 crystal at the PBE-GGA level of DFT.

The calculated total energy comes out at -28.35 eV per formula unit. Its uncorrected formation energy is -0.1917 eV per atom.

abc: 6.411 11.094 6.582
angles: 90.00 108.43 90.00
Space group C2/c (No. 15)
One atom of each set of equivalent atoms:
1 As 0.000 0.086 0.250 (multiplicity 4)
2 Pd 0.228 0.074 0.001 (multiplicity 8)
3 Pd 0.250 0.250 0.500 (multiplicity 4)
4 Se 0.000 0.239 0.750 (multiplicity 4)
5 Se 0.000 0.419 0.250 (multiplicity 4)

=====

No. 2
Computed, not measured: a relaxed Li2CeErS4 crystal at the PBE-GGA level of DFT.

The calculated total energy comes out at -45.06 eV per formula unit. Its uncorrected formation energy is -1.7786 eV per atom.

abc: 6.585 3.966 6.877
angles: 90.00 110.32 90.00
Space group P2/m (No. 10)
One atom of each set of equivalent atoms:
1 Li 0.000 0.000 0.000 (multiplicity 1)
2 Li 0.000 0.500 0.500 (multiplicity 1)
3 Ce 0.500 0.000 0.500 (multiplicity 1)
4 Er 0.500 0.500 0.000 (multiplicity 1)
5 S 0.245 0.500 0.239 (multiplicity 2)
6 S 0.249 0.000 0.758 (multiplicity 2)